[1]
## PmNd2ErBi5 (PBE)

Data for crystalline PmNd2ErBi5 at its relaxed geometry.

DOS(E_F): 6.3 states/eV/cell
magnetic moment: 0.00 μB/f.u.
energy relative to the elements: -1.468 eV/f.u.

a = 5.3906 Å, b = 5.3906 Å, c = 12.0789 Å
α = 90.00°, β = 90.00°, γ = 90.00°
Space group P4/mmm (No. 123)
One atom of each set of equivalent atoms:
Pm 0.0000 0.0000 0.0000 [1 per cell]
Nd 0.5000 0.5000 0.2713 [2 per cell]
Er 0.0000 0.0000 0.5000 [1 per cell]
Bi 0.0000 0.0000 0.2492 [2 per cell]
Bi 0.0000 0.5000 0.5000 [2 per cell]
Bi 0.5000 0.5000 0.0000 [1 per cell]



[2]
## RhPb3 (PBE)

Data for crystalline RhPb3 at its relaxed geometry.

DOS(E_F): 6.9 states/eV/cell
magnetic moment: 0.00 μB/f.u.
energy relative to the elements: 0.258 eV/f.u.

a = 3.4207 Å, b = 3.4207 Å, c = 30.6544 Å
α = 90.00°, β = 90.00°, γ = 120.00°
Space group R-3m (No. 166, hexagonal axes)
One atom of each set of equivalent atoms:
Rh 0.0000 0.0000 0.0000 [3 per cell]
Pb 0.0000 0.0000 0.2667 [6 per cell]
Pb 0.0000 0.0000 0.5000 [3 per cell]



[3]
## DyErTm2 (PBE)

Data for crystalline DyErTm2 at its relaxed geometry.

DOS(E_F): 18.0 states/eV/cell
magnetic moment: 0.00 μB/f.u.
energy relative to the elements: 0.102 eV/f.u.
energy relative to the lowest polymorph listed for this composition: 23 meV per atom

a = 3.5011 Å, b = 3.5011 Å, c = 34.1870 Å
α = 90.00°, β = 90.00°, γ = 120.00°
Space group R-3m (No. 166, hexagonal axes)
One atom of each set of equivalent atoms:
Dy 0.0000 0.0000 0.0000 [3 per cell]
Er 0.0000 0.0000 0.5000 [3 per cell]
Tm 0.0000 0.0000 0.2497 [6 per cell]



[4]
## PdRu2F11 (PBE)

Data for crystalline PdRu2F11 at its relaxed geometry.

DOS(E_F): 12.6 states/eV/cell
magnetic moment: 5.06 μB/f.u.
uncorrected formation energy: -1.551 eV per atom

a = 8.1025 Å, b = 10.7543 Å, c = 10.7550 Å
α = 90.00°, β = 90.00°, γ = 90.00°
Space group Ibam (No. 72)
One atom of each set of equivalent atoms:
Pd 0.0000 0.0000 0.2500 [4 per cell]
Ru 0.2167 0.4050 0.0000 [8 per cell]
F 0.0000 0.5000 0.0000 [4 per cell]
F 0.0844 0.1797 0.5000 [8 per cell]
F 0.1324 0.3100 0.1300 [16 per cell]
F 0.1910 0.0203 0.1242 [16 per cell]



[5]
## TlPIr2Br (PBE)

Data for crystalline TlPIr2Br at its relaxed geometry.

DOS(E_F): 4.1 states/eV/cell
magnetic moment: 0.90 μB/f.u.
uncorrected formation energy: 0.470 eV per atom

a = 4.3662 Å, b = 4.3662 Å, c = 7.6438 Å
α = 90.00°, β = 90.00°, γ = 90.00°
Space group P4/mmm (No. 123)
One atom of each set of equivalent atoms:
Tl 0.0000 0.0000 0.0000 [1 per cell]
P 0.0000 0.0000 0.5000 [1 per cell]
Ir 0.0000 0.5000 0.5000 [2 per cell]
Br 0.5000 0.5000 0.0000 [1 per cell]



[6]
## Nd2GdZr (PBE)

Data for crystalline Nd2GdZr at its relaxed geometry.

DOS(E_F): 6.4 states/eV/cell
magnetic moment: 7.23 μB/f.u.
energy relative to the elements: 0.681 eV/f.u.
energy relative to the lowest polymorph listed for this composition: 44 meV per atom

a = 4.0738 Å, b = 4.0738 Å, c = 7.4500 Å
α = 90.00°, β = 90.00°, γ = 90.00°
Space group P4/mmm (No. 123)
One atom of each set of equivalent atoms:
Nd 0.0000 0.0000 0.2218 [2 per cell]
Gd 0.5000 0.5000 0.5000 [1 per cell]
Zr 0.5000 0.5000 0.0000 [1 per cell]